Entry 1:
A relaxed Tl3In12Se5 crystal, computed with PBE.

Summary:
- Crystal system: cubic
- Raw total energy: -469.1 eV for the cell shown
- DOS at the Fermi energy: 91.8 states/eV per cell

The structure in CIF format:
```
data_Tl3In12Se5
_cell_length_a 17.640
_cell_length_b 17.640
_cell_length_c 17.640
_cell_angle_alpha 90.00
_cell_angle_beta 90.00
_cell_angle_gamma 90.00
_space_group_name_H-M_alt 'I a -3 d'
_space_group_IT_number 230
_space_group_name_Hall '-I 4bd 2c 3'
loop_
_atom_site_label
_atom_site_type_symbol
_atom_site_fract_x
_atom_site_fract_y
_atom_site_fract_z
Tl1 Tl 0.000 0.250 0.125
In1 In 0.017 0.070 0.655
Se1 Se 0.000 0.000 0.000
Se2 Se 0.000 0.250 0.375
```

Entry 2:
A relaxed TlIn4Se2 crystal, computed with PBE.

Summary:
- Crystal system: tetragonal
- Raw total energy: -40.1 eV for the cell shown
- DOS at the Fermi energy: 3.6 states/eV per cell

The structure in CIF format:
```
data_TlIn4Se2
_cell_length_a 5.757
_cell_length_b 5.757
_cell_length_c 15.077
_cell_angle_alpha 90.00
_cell_angle_beta 90.00
_cell_angle_gamma 90.00
_space_group_name_H-M_alt 'I 4/m m m'
_space_group_IT_number 139
_space_group_name_Hall '-I 4 2'
loop_
_atom_site_label
_atom_site_type_symbol
_atom_site_fract_x
_atom_site_fract_y
_atom_site_fract_z
Tl1 Tl 0.000 0.000 0.000
In1 In 0.000 0.000 0.208
In2 In 0.000 0.500 0.000
Se1 Se 0.000 0.000 0.381
```

Entry 3:
A relaxed Tl5InSe4 crystal, computed with PBE.

Summary:
- Crystal system: monoclinic
- Raw total energy: -65.1 eV for the cell shown
- Energy above the lowest structure with this stoichiometry: 14.4 meV/atom
- DOS at the Fermi energy: 0.2 states/eV per cell

The structure in CIF format:
```
data_Tl5InSe4
_cell_length_a 18.731
_cell_length_b 4.236
_cell_length_c 8.522
_cell_angle_alpha 90.00
_cell_angle_beta 109.13
_cell_angle_gamma 90.00
_space_group_name_H-M_alt 'C 1 2/m 1'
_space_group_IT_number 12
loop_
_space_group_symop_operation_xyz
'x,y,z'
'-x,-y,-z'
'-x,y,-z'
'x,-y,z'
'x+1/2,y+1/2,z'
'-x+1/2,-y+1/2,-z'
'-x+1/2,y+1/2,-z'
'x+1/2,-y+1/2,z'
loop_
_atom_site_label
_atom_site_type_symbol
_atom_site_fract_x
_atom_site_fract_y
_atom_site_fract_z
Tl1 Tl 0.000 0.000 0.000
Tl2 Tl 0.156 0.500 0.295
Tl3 Tl 0.192 0.500 0.817
In1 In 0.000 0.000 0.500
Se1 Se 0.023 0.500 0.736
Se2 Se 0.155 0.000 0.544
```

Entry 4:
A relaxed TlInSe crystal, computed with PBE.

Summary:
- Crystal system: trigonal
- Raw total energy: -9.6 eV for the cell shown
- Energy above the lowest structure with this stoichiometry: 5.9 meV/atom
- DOS at the Fermi energy: 0.5 states/eV per cell

The structure in CIF format:
```
data_TlInSe
_cell_length_a 4.3229
_cell_length_b 4.3229
_cell_length_c 5.8137
_cell_angle_alpha 90.00
_cell_angle_beta 90.00
_cell_angle_gamma 120.00
_space_group_name_H-M_alt 'P 3 m 1'
_space_group_IT_number 156
loop_
_space_group_symop_operation_xyz
'x,y,z'
'-y,x-y,z'
'-x+y,-x,z'
'-y,-x,z'
'-x+y,y,z'
'x,x-y,z'
loop_
_atom_site_label
_atom_site_type_symbol
_atom_site_fract_x
_atom_site_fract_y
_atom_site_fract_z
Tl1 Tl 0.0000 0.0000 0.0000
In1 In 0.3333 0.6667 0.4093
Se1 Se 0.6667 0.3333 0.6645
```

Entry 5:
A relaxed TlIn2Se crystal, computed with PBE.

Summary:
- Crystal system: tetragonal
- Raw total energy: -12.0 eV for the cell shown
- DOS at the Fermi energy: 0.9 states/eV per cell

The structure in CIF format:
```
data_TlIn2Se
_cell_length_a 3.955
_cell_length_b 3.955
_cell_length_c 7.170
_cell_angle_alpha 90.00
_cell_angle_beta 90.00
_cell_angle_gamma 90.00
_space_group_name_H-M_alt 'P 4 m m'
_space_group_IT_number 99
loop_
_space_group_symop_operation_xyz
'x,y,z'
'-y,x,z'
'-x,-y,z'
'y,-x,z'
'-x,y,z'
'y,x,z'
'x,-y,z'
'-y,-x,z'
loop_
_atom_site_label
_atom_site_type_symbol
_atom_site_fract_x
_atom_site_fract_y
_atom_site_fract_z
Tl1 Tl 0.000 0.000 0.000
In1 In 0.000 0.000 0.525
In2 In 0.500 0.500 0.268
Se1 Se 0.500 0.500 0.687
```

Entry 6:
A relaxed Tl5InSe5 crystal, computed with PBE.

Summary:
- Crystal system: monoclinic
- Raw total energy: -71.0 eV for the cell shown
- DOS at the Fermi energy: 5.3 states/eV per cell

The structure in CIF format:
```
data_Tl5InSe5
_cell_length_a 13.181
_cell_length_b 6.383
_cell_length_c 8.647
_cell_angle_alpha 90.00
_cell_angle_beta 103.68
_cell_angle_gamma 90.00
_space_group_name_H-M_alt 'C 1 2/m 1'
_space_group_IT_number 12
loop_
_space_group_symop_operation_xyz
'x,y,z'
'-x,-y,-z'
'-x,y,-z'
'x,-y,z'
'x+1/2,y+1/2,z'
'-x+1/2,-y+1/2,-z'
'-x+1/2,y+1/2,-z'
'x+1/2,-y+1/2,z'
loop_
_atom_site_label
_atom_site_type_symbol
_atom_site_fract_x
_atom_site_fract_y
_atom_site_fract_z
Tl1 Tl 0.000 0.000 0.000
Tl2 Tl 0.159 0.500 0.845
Tl3 Tl 0.180 0.500 0.375
In1 In 0.000 0.000 0.500
Se1 Se 0.000 0.500 0.500
Se2 Se 0.151 0.000 0.778
Se3 Se 0.156 0.000 0.330
```

Entry 7:
A relaxed TlIn2Se crystal, computed with PBE.

Summary:
- Crystal system: orthorhombic
- Raw total energy: -24.2 eV for the cell shown
- DOS at the Fermi energy: 2.5 states/eV per cell

The structure in CIF format:
```
data_TlIn2Se
_cell_length_a 3.765
_cell_length_b 5.596
_cell_length_c 10.703
_cell_angle_alpha 90.00
_cell_angle_beta 90.00
_cell_angle_gamma 90.00
_space_group_name_H-M_alt 'I m m m'
_space_group_IT_number 71
_space_group_name_Hall '-I 2 2'
loop_
_atom_site_label
_atom_site_type_symbol
_atom_site_fract_x
_atom_site_fract_y
_atom_site_fract_z
Tl1 Tl 0.000 0.000 0.000
In1 In 0.000 0.500 0.215
Se1 Se 0.000 0.000 0.500
```

Entry 8:
A relaxed Tl6InSe4 crystal, computed with PBE.

Summary:
- Crystal system: hexagonal
- Raw total energy: -69.5 eV for the cell shown
- DOS at the Fermi energy: 7.3 states/eV per cell

The structure in CIF format:
```
data_Tl6InSe4
_cell_length_a 10.8846
_cell_length_b 10.8846
_cell_length_c 6.9945
_cell_angle_alpha 90.00
_cell_angle_beta 90.00
_cell_angle_gamma 120.00
_space_group_name_H-M_alt 'P 63 m c'
_space_group_IT_number 186
_space_group_name_Hall 'P 6c -2c'
loop_
_atom_site_label
_atom_site_type_symbol
_atom_site_fract_x
_atom_site_fract_y
_atom_site_fract_z
Tl1 Tl 0.0433 0.5216 0.0000
Tl2 Tl 0.1521 0.3043 0.7145
In1 In 0.3333 0.6667 0.3732
Se1 Se 0.1959 0.3918 0.2658
Se2 Se 0.3333 0.6667 0.7559
```

Entry 9:
A relaxed TlIn2Se crystal, computed with PBE.

Summary:
- Crystal system: tetragonal
- Raw total energy: -11.9 eV for the cell shown
- DOS at the Fermi energy: 0.7 states/eV per cell

The structure in CIF format:
```
data_TlIn2Se
_cell_length_a 4.763
_cell_length_b 4.763
_cell_length_c 4.967
_cell_angle_alpha 90.00
_cell_angle_beta 90.00
_cell_angle_gamma 90.00
_space_group_name_H-M_alt 'P 4/m m m'
_space_group_IT_number 123
_space_group_name_Hall '-P 4 2'
loop_
_atom_site_label
_atom_site_type_symbol
_atom_site_fract_x
_atom_site_fract_y
_atom_site_fract_z
Tl1 Tl 0.000 0.000 0.000
In1 In 0.000 0.500 0.500
Se1 Se 0.500 0.500 0.000
```

Entry 10:
A relaxed Tl14In2Se9 crystal, computed with PBE.

Summary:
- Crystal system: trigonal
- Raw total energy: -78.5 eV for the cell shown
- DOS at the Fermi energy: 9.0 states/eV per cell

The structure in CIF format:
```
data_Tl14In2Se9
_cell_length_a 9.3370
_cell_length_b 9.3370
_cell_length_c 11.1910
_cell_angle_alpha 90.00
_cell_angle_beta 90.00
_cell_angle_gamma 120.00
_space_group_name_H-M_alt 'P -3'
_space_group_IT_number 147
loop_
_space_group_symop_operation_xyz
'x,y,z'
'-x,-y,-z'
'-y,x-y,z'
'y,-x+y,-z'
'-x+y,-x,z'
'x-y,x,-z'
loop_
_atom_site_label
_atom_site_type_symbol
_atom_site_fract_x
_atom_site_fract_y
_atom_site_fract_z
Tl1 Tl 0.0000 0.0000 0.2187
Tl2 Tl 0.0174 0.6762 0.4029
Tl3 Tl 0.1079 0.4281 0.1378
In1 In 0.3333 0.6667 0.7928
Se1 Se 0.0000 0.0000 0.5000
Se2 Se 0.1103 0.3721 0.8728
Se3 Se 0.3333 0.6667 0.5567
```

Which of these has the lowest DOS at the Fermi energy?
Tl5InSe4

Number 8 is which compound?
Tl6InSe4

Number 2 is which compound?
TlIn4Se2